The following is a GGA+U calculation of a relaxed Pr2VO5 crystal, from the Alexandria database.

It has space group P2_1/c (No. 14), with a = 9.6903 Å, b = 7.3896 Å, c = 7.1198 Å, α = 90.00°, β = 103.96° and γ = 90.00°. Symmetry generates all atoms from Pr at (0.0259, 0.1234, 0.2375), Pr at (0.3634, 0.1405, 0.0448), V at (0.3033, 0.5931, 0.0221), O at (0.1078, 0.6359, 0.9739), O at (0.1116, 0.1169, 0.9395), O at (0.2841, 0.0879, 0.3331), O at (0.3826, 0.0562, 0.7166) and O at (0.3931, 0.6984, 0.5121).

The electronic total energy is -8.1061 eV/atom.

The following is a GGA+U calculation of a relaxed PrVO4 crystal, from the Alexandria database.

It has space group Fddd (No. 70, origin choice 2), with a = 6.5380 Å, b = 10.5724 Å, c = 10.5946 Å, α = 90.00°, β = 90.00° and γ = 90.00°. Symmetry generates all atoms from Pr at (0.1250, 0.1250, 0.1250), V at (0.1250, 0.1250, 0.6250) and O at (0.0452, 0.2852, 0.9646).

The electronic total energy is -8.0325 eV/atom.

The following is a GGA+U calculation of a relaxed PrVO4 crystal, from the Alexandria database.

It has space group P2_1/c (No. 14), with a = 6.7651 Å, b = 7.3043 Å, c = 8.4089 Å, α = 90.00°, β = 125.77° and γ = 90.00°. Symmetry generates all atoms from Pr at (0.1814, 0.1521, 0.2777), V at (0.3146, 0.6622, 0.2005), O at (0.1164, 0.6524, 0.6110), O at (0.1707, 0.0049, 0.7499), O at (0.3518, 0.6016, 0.0208) and O at (0.3852, 0.2167, 0.1123).

The electronic total energy is -7.9978 eV/atom.